(1)
This record from Alexandria via LeMat-Bulk describes crystalline CePr2OsN4 at its relaxed geometry. The functional is PBE.

Values from the calculation:
Its space group is Cmcm. Its total energy is -8.282 eV per atom. The density of states at the Fermi level is 0.5372 states/eV per atom.

Cell: 3.4703 6.2228 12.2282 Å, 90.00 90.00 106.19°
Atoms (fractional coordinates):
Os (0.1494, 0.2988, 0.2500)
Os (0.8506, 0.7012, 0.7500)
Pr (0.6323, 0.2647, 0.0454)
Pr (0.6323, 0.2647, 0.4546)
Pr (0.3677, 0.7353, 0.9546)
Pr (0.3677, 0.7353, 0.5454)
N (0.0000, 0.0000, 0.0000)
N (0.0000, 0.0000, 0.5000)
N (0.2788, 0.5577, 0.1414)
N (0.4433, 0.8866, 0.7500)
N (0.7212, 0.4423, 0.6414)
N (0.2788, 0.5577, 0.3586)
N (0.5567, 0.1134, 0.2500)
N (0.7212, 0.4423, 0.8586)
Ce (0.8873, 0.7746, 0.2500)
Ce (0.1127, 0.2254, 0.7500)

=====

(2)
This record from Alexandria via LeMat-Bulk describes crystalline CePr2OsN5 at its relaxed geometry. The functional is PBE.

Values from the calculation:
Its space group is I4/mcm. Its total energy is -8.357 eV per atom. The density of states at the Fermi level is 0.7894 states/eV per atom.

Cell: 6.8059 6.8059 7.5522 Å, 116.78 116.78 90.00°
Atoms (fractional coordinates):
Ce (0.2500, 0.2500, 0.5000)
Ce (0.7500, 0.7500, 0.5000)
N (0.5000, 0.5000, 0.0000)
N (0.0010, 0.5010, 0.7067)
N (0.2943, 0.7943, 0.2933)
N (0.7057, 0.2057, 0.7067)
N (0.9990, 0.4990, 0.2933)
N (0.4990, 0.2943, 0.2933)
N (0.7943, 0.9990, 0.2933)
N (0.2057, 0.0010, 0.7067)
N (0.0000, 0.0000, 0.0000)
N (0.5010, 0.7057, 0.7067)
Os (0.7500, 0.2500, 0.5000)
Os (0.2500, 0.7500, 0.5000)
Pr (0.8263, 0.6737, 0.0000)
Pr (0.1737, 0.3263, 0.0000)
Pr (0.3263, 0.8263, 0.0000)
Pr (0.6737, 0.1737, 0.0000)

=====

(3)
This record from Alexandria via LeMat-Bulk describes crystalline Ce2ReOsN6 at its relaxed geometry. The functional is PBE.

Values from the calculation:
Its space group is P2_1/c. Its total energy is -9.179 eV per atom. The density of states at the Fermi level is 0.7930 states/eV per atom.

Cell: 5.4766 5.6498 7.7557 Å, 90.00 90.09 90.00°
Atoms (fractional coordinates):
Ce (0.4910, 0.4487, 0.2500)
Ce (0.0090, 0.9487, 0.2500)
Ce (0.9910, 0.0513, 0.7500)
Ce (0.5090, 0.5513, 0.7500)
N (0.1987, 0.2000, 0.4557)
N (0.8013, 0.8000, 0.5443)
N (0.6987, 0.3000, 0.9557)
N (0.3035, 0.7046, 0.4540)
N (0.0829, 0.4817, 0.7518)
N (0.1965, 0.2046, 0.0460)
N (0.6965, 0.2954, 0.5460)
N (0.8035, 0.7954, 0.9540)
N (0.4171, 0.9817, 0.7482)
N (0.3013, 0.7000, 0.0443)
N (0.5829, 0.0183, 0.2518)
N (0.9171, 0.5183, 0.2482)
Re (0.0000, 0.5000, 0.0000)
Re (0.5000, 0.0000, 0.5000)
Os (0.0000, 0.5000, 0.5000)
Os (0.5000, 0.0000, 0.0000)

=====

(4)
This record from Alexandria via LeMat-Bulk describes crystalline CeSiOsN at its relaxed geometry. The functional is PBE.

Values from the calculation:
Its space group is P4/nmm. Its total energy is -8.691 eV per atom. The density of states at the Fermi level is 1.1429 states/eV per atom.

Cell: 4.0164 4.0164 8.0244 Å, 90.00 90.00 90.00°
Atoms (fractional coordinates):
Si (0.0000, 0.5000, 0.3406)
Si (0.5000, 0.0000, 0.6594)
N (0.0000, 0.5000, 0.1207)
N (0.5000, 0.0000, 0.8793)
Ce (0.0000, 0.5000, 0.8362)
Ce (0.5000, 0.0000, 0.1638)
Os (0.0000, 0.0000, 0.5000)
Os (0.5000, 0.5000, 0.5000)

=====

(5)
This record from Alexandria via LeMat-Bulk describes crystalline Ce2SmOsN4 at its relaxed geometry. The functional is PBE.

Values from the calculation:
Its space group is Cmcm. Its total energy is -8.615 eV per atom. The density of states at the Fermi level is 0.6049 states/eV per atom.

Cell: 3.3979 6.2056 11.7927 Å, 90.00 90.00 105.89°
Atoms (fractional coordinates):
N (0.5440, 0.0880, 0.2500)
N (0.7278, 0.4555, 0.6280)
N (0.0000, 0.0000, 0.0000)
N (0.2722, 0.5445, 0.1280)
N (0.7278, 0.4555, 0.8720)
N (0.4560, 0.9120, 0.7500)
N (0.2722, 0.5445, 0.3720)
N (0.0000, 0.0000, 0.5000)
Ce (0.3685, 0.7370, 0.5491)
Ce (0.3685, 0.7370, 0.9509)
Ce (0.6315, 0.2630, 0.4509)
Ce (0.6315, 0.2630, 0.0491)
Os (0.8516, 0.7033, 0.7500)
Os (0.1484, 0.2967, 0.2500)
Sm (0.8875, 0.7750, 0.2500)
Sm (0.1125, 0.2250, 0.7500)

=====

(6)
This record from Alexandria via LeMat-Bulk describes crystalline Ce6Sn2OsN at its relaxed geometry. The functional is PBE.

Values from the calculation:
Its space group is P4/mmm. Its total energy is -6.861 eV per atom. The density of states at the Fermi level is 2.7566 states/eV per atom.

Cell: 5.1507 5.1507 10.3430 Å, 90.00 90.00 90.00°
Atoms (fractional coordinates):
Ce (0.5000, 0.0000, 0.0000)
Ce (0.5000, 0.0000, 0.5000)
Ce (0.0000, 0.5000, 0.5000)
Ce (0.5000, 0.5000, 0.7245)
Ce (0.0000, 0.5000, 0.0000)
Ce (0.5000, 0.5000, 0.2755)
Os (0.5000, 0.5000, 0.0000)
N (0.5000, 0.5000, 0.5000)
Sn (0.0000, 0.0000, 0.7386)
Sn (0.0000, 0.0000, 0.2614)

=====

(7)
This record from Alexandria via LeMat-Bulk describes crystalline Sr2CeOs2N6 at its relaxed geometry. The functional is PBE.

Values from the calculation:
Its space group is R-3m. Its total energy is -7.866 eV per atom. The density of states at the Fermi level is 0.6791 states/eV per atom.

Cell: 5.9764 5.9764 6.9909 Å, 64.69 64.69 60.00°
Atoms (fractional coordinates):
N (0.2558, 0.2558, 0.7280)
N (0.7604, 0.2558, 0.7280)
N (0.7442, 0.2396, 0.2720)
N (0.7442, 0.7442, 0.2720)
N (0.2396, 0.7442, 0.2720)
N (0.2558, 0.7604, 0.7280)
Os (0.5986, 0.5986, 0.2042)
Os (0.4014, 0.4014, 0.7958)
Sr (0.7901, 0.7901, 0.6296)
Sr (0.2099, 0.2099, 0.3704)
Ce (0.0000, 0.0000, 0.0000)

=====

(8)
This record from Alexandria via LeMat-Bulk describes crystalline Tb2CeOsN4 at its relaxed geometry. The functional is PBE.

Values from the calculation:
Its space group is Cmcm. Its total energy is -8.452 eV per atom. The density of states at the Fermi level is 0.5148 states/eV per atom.

Cell: 3.4065 6.0985 11.6510 Å, 90.00 90.00 106.22°
Atoms (fractional coordinates):
N (0.5478, 0.0956, 0.2500)
N (0.0000, 0.0000, 0.0000)
N (0.2722, 0.5444, 0.3677)
N (0.7278, 0.4556, 0.8677)
N (0.2722, 0.5444, 0.1323)
N (0.4522, 0.9044, 0.7500)
N (0.0000, 0.0000, 0.5000)
N (0.7278, 0.4556, 0.6323)
Tb (0.3693, 0.7385, 0.5444)
Tb (0.6307, 0.2615, 0.0444)
Tb (0.6307, 0.2615, 0.4556)
Tb (0.3693, 0.7385, 0.9556)
Ce (0.8853, 0.7706, 0.2500)
Ce (0.1147, 0.2294, 0.7500)
Os (0.1440, 0.2880, 0.2500)
Os (0.8560, 0.7120, 0.7500)

=====

(9)
This record from Alexandria via LeMat-Bulk describes crystalline CeTh2OsN5 at its relaxed geometry. The functional is PBE.

Values from the calculation:
Its space group is P4/mbm. Its total energy is -9.145 eV per atom. The density of states at the Fermi level is 0.8585 states/eV per atom.

Cell: 5.8567 6.7983 6.7983 Å, 90.00 90.00 90.00°
Atoms (fractional coordinates):
N (0.5000, 0.0000, 0.0000)
N (0.5000, 0.5000, 0.5000)
N (0.7676, 0.1461, 0.6461)
N (0.7676, 0.3539, 0.1461)
N (0.2324, 0.1461, 0.6461)
N (0.7676, 0.8539, 0.3539)
N (0.7676, 0.6461, 0.8539)
N (0.2324, 0.6461, 0.8539)
N (0.2324, 0.8539, 0.3539)
N (0.2324, 0.3539, 0.1461)
Ce (0.0000, 0.0000, 0.0000)
Ce (0.0000, 0.5000, 0.5000)
Th (0.5000, 0.1732, 0.3268)
Th (0.5000, 0.6732, 0.1732)
Th (0.5000, 0.3268, 0.8268)
Th (0.5000, 0.8268, 0.6732)
Os (0.0000, 0.0000, 0.5000)
Os (0.0000, 0.5000, 0.0000)

=====

(10)
This record from Alexandria via LeMat-Bulk describes crystalline Ce2UOsN5 at its relaxed geometry. The functional is PBE.

Values from the calculation:
Its space group is P4/mbm. Its total energy is -9.188 eV per atom. The density of states at the Fermi level is 1.2473 states/eV per atom.

Cell: 5.7934 6.4983 6.4983 Å, 90.00 90.00 90.00°
Atoms (fractional coordinates):
Ce (0.5000, 0.1668, 0.3332)
Ce (0.5000, 0.3332, 0.8332)
Ce (0.5000, 0.8332, 0.6668)
Ce (0.5000, 0.6668, 0.1668)
U (0.0000, 0.0000, 0.0000)
U (0.0000, 0.5000, 0.5000)
N (0.7722, 0.8427, 0.3427)
N (0.7722, 0.3427, 0.1573)
N (0.2278, 0.8427, 0.3427)
N (0.7722, 0.6573, 0.8427)
N (0.5000, 0.0000, 0.0000)
N (0.2278, 0.1573, 0.6573)
N (0.2278, 0.6573, 0.8427)
N (0.7722, 0.1573, 0.6573)
N (0.2278, 0.3427, 0.1573)
N (0.5000, 0.5000, 0.5000)
Os (0.0000, 0.5000, 0.0000)
Os (0.0000, 0.0000, 0.5000)

=====

(11)
This record from Alexandria via LeMat-Bulk describes crystalline CeY2OsN4 at its relaxed geometry. The functional is PBE.

Values from the calculation:
Its space group is Cmcm. Its total energy is -8.913 eV per atom. The density of states at the Fermi level is 0.5088 states/eV per atom.

Cell: 3.4005 6.0827 11.6324 Å, 90.00 90.00 106.23°
Atoms (fractional coordinates):
Os (0.8568, 0.7136, 0.7500)
Os (0.1432, 0.2864, 0.2500)
N (0.4527, 0.9055, 0.7500)
N (0.2713, 0.5427, 0.1316)
N (0.5473, 0.0945, 0.2500)
N (0.2713, 0.5427, 0.3684)
N (0.0000, 0.0000, 0.0000)
N (0.7287, 0.4573, 0.8684)
N (0.7287, 0.4573, 0.6316)
N (0.0000, 0.0000, 0.5000)
Ce (0.8846, 0.7692, 0.2500)
Ce (0.1154, 0.2308, 0.7500)
Y (0.6306, 0.2613, 0.4558)
Y (0.6306, 0.2613, 0.0442)
Y (0.3694, 0.7387, 0.5442)
Y (0.3694, 0.7387, 0.9558)

=====

(12)
This record from Alexandria via LeMat-Bulk describes crystalline Ce3PN3 at its relaxed geometry. The functional is PBE.

Values from the calculation:
Its space group is R-3. Its total energy is -8.258 eV per atom.

Cell: 6.8086 6.8086 7.8601 Å, 64.33 64.33 60.00°
Atoms (fractional coordinates):
N (0.4352, 0.8013, 0.6318)
N (0.1318, 0.4352, 0.6318)
N (0.1987, 0.8682, 0.3682)
N (0.8013, 0.1318, 0.6318)
N (0.5648, 0.1987, 0.3682)
N (0.8682, 0.5648, 0.3682)
P (0.6667, 0.6667, 0.9999)
P (0.3333, 0.3333, 0.0001)
Ce (0.7481, 0.4504, 0.7073)
Ce (0.0942, 0.7481, 0.7073)
Ce (0.4504, 0.0942, 0.7073)
Ce (0.9058, 0.2519, 0.2927)
Ce (0.5496, 0.9058, 0.2927)
Ce (0.2519, 0.5496, 0.2927)

=====

These records have formation energy without anion corrections values of -17.97; -17.59; -14.51; -22.20; -22.48; -12.55; -10.11; -22.75; -22.23; -17.12; -22.80; -31.70 kcal/mol of atoms, in the order they appear.